1.
{
  "formula": "PrF3",
  "functional": "meta-GGA SCAN",
  "state": "single point on PBEsol structure",
  "dft_energy_ev_per_atom": -17.9102,
  "formation_energy_uncorrected_ev_per_fu": -17.7,
  "lattice_angstrom": [[7.023, 0.000, 0.000], [-3.511, 6.082, 0.000], [0.000, 0.000, 7.223]],
  "species": ["Pr", "Pr", "Pr", "Pr", "Pr", "Pr", "F", "F", "F", "F", "F", "F", "F", "F", "F", "F", "F", "F", "F", "F", "F", "F", "F", "F"],
  "frac_coords": [[0.000, 0.344, 0.250], [0.000, 0.656, 0.750], [0.344, 0.000, 0.250], [0.344, 0.344, 0.750], [0.656, 0.000, 0.750], [0.656, 0.656, 0.250], [0.000, 0.000, 0.250], [0.000, 0.000, 0.750], [0.060, 0.371, 0.918], [0.060, 0.689, 0.418], [0.311, 0.371, 0.418], [0.311, 0.940, 0.918], [0.333, 0.667, 0.180], [0.333, 0.667, 0.680], [0.371, 0.060, 0.582], [0.371, 0.311, 0.082], [0.629, 0.689, 0.918], [0.629, 0.940, 0.418], [0.667, 0.333, 0.320], [0.667, 0.333, 0.820], [0.689, 0.060, 0.082], [0.689, 0.629, 0.582], [0.940, 0.311, 0.582], [0.940, 0.629, 0.082]]
}


2.
{
  "formula": "TlReN2",
  "functional": "meta-GGA SCAN",
  "state": "single point on PBEsol structure",
  "dft_energy_ev_per_atom": -38.6583,
  "e_above_lowest_polymorph_ev_per_fu": 6.804,
  "formation_energy_uncorrected_ev_per_fu": 7.4,
  "lattice_angstrom": [[0.000, 2.831, 2.831], [2.831, 0.000, 2.831], [2.831, 2.831, 0.000]],
  "species": ["Tl", "Re", "N", "N"],
  "frac_coords": [[0.000, 0.000, 0.000], [0.500, 0.500, 0.500], [0.250, 0.250, 0.250], [0.750, 0.750, 0.750]]
}


3.
{
  "formula": "Li2AlCd",
  "functional": "meta-GGA SCAN",
  "state": "single point on PBEsol structure",
  "dft_energy_ev_per_atom": -10.9102,
  "formation_enthalpy_0k_mev_per_atom": -174,
  "lattice_angstrom": [[3.287, 0.000, 0.000], [0.000, 3.287, 0.000], [0.000, 0.000, 6.004]],
  "species": ["Li", "Li", "Al", "Cd"],
  "frac_coords": [[0.000, 0.000, 0.243], [0.000, 0.000, 0.757], [0.500, 0.500, 0.000], [0.500, 0.500, 0.500]]
}


4.
{
  "formula": "Ta3Os",
  "functional": "meta-GGA SCAN",
  "state": "single point on PBEsol structure",
  "dft_energy_ev_per_atom": -68.2825,
  "formation_enthalpy_0k_mev_per_atom": -375,
  "lattice_angstrom": [[4.536, 0.000, 0.000], [0.000, 4.536, 0.000], [0.000, 0.000, 3.194]],
  "species": ["Ta", "Ta", "Ta", "Os"],
  "frac_coords": [[0.000, 0.000, 0.000], [0.000, 0.500, 0.500], [0.500, 0.000, 0.500], [0.500, 0.500, 0.000]]
}


5.
{
  "formula": "Li2TaPt",
  "functional": "meta-GGA SCAN",
  "state": "single point on PBEsol structure",
  "dft_energy_ev_per_atom": -35.4419,
  "e_above_lowest_polymorph_ev_per_fu": 0.777,
  "formation_enthalpy_0k_mev_per_atom": -53,
  "lattice_angstrom": [[2.540, -4.558, 0.000], [2.540, 4.558, 0.000], [0.000, 0.000, 2.672]],
  "species": ["Li", "Li", "Ta", "Pt"],
  "frac_coords": [[0.000, 0.500, 0.000], [0.500, 0.000, 0.000], [0.000, 0.000, 0.500], [0.500, 0.500, 0.500]]
}


6.
{
  "formula": "RbOsOF2",
  "functional": "meta-GGA SCAN",
  "state": "single point on PBEsol structure",
  "dft_energy_ev_per_atom": -20.3737,
  "formation_energy_uncorrected_ev_per_fu": 4.1,
  "lattice_angstrom": [[4.799, 0.000, 0.000], [0.000, 4.799, 0.000], [0.000, 0.000, 4.110]],
  "species": ["Rb", "Os", "O", "F", "F"],
  "frac_coords": [[0.000, 0.000, 0.000], [0.500, 0.500, 0.500], [0.000, 0.000, 0.500], [0.000, 0.500, 0.000], [0.500, 0.000, 0.000]]
}


7.
{
  "formula": "KSiS2N",
  "functional": "meta-GGA SCAN",
  "state": "single point on PBEsol structure",
  "dft_energy_ev_per_atom": -7.5557,
  "formation_energy_uncorrected_ev_per_fu": 9.1,
  "lattice_angstrom": [[5.361, 0.000, 0.000], [0.000, 5.361, 0.000], [0.000, 0.000, 4.612]],
  "species": ["K", "Si", "S", "S", "N"],
  "frac_coords": [[0.000, 0.000, 0.000], [0.500, 0.500, 0.500], [0.000, 0.500, 0.000], [0.500, 0.000, 0.000], [0.000, 0.000, 0.500]]
}


8.
{
  "formula": "Ti2FeSiO",
  "functional": "meta-GGA SCAN",
  "state": "single point on PBEsol structure",
  "dft_energy_ev_per_atom": -14.3731,
  "formation_energy_uncorrected_ev_per_fu": -5.4,
  "lattice_angstrom": [[3.997, 0.000, 0.000], [0.000, 3.997, 0.000], [0.000, 0.000, 3.762]],
  "species": ["Ti", "Ti", "Fe", "Si", "O"],
  "frac_coords": [[0.000, 0.500, 0.000], [0.500, 0.000, 0.000], [0.000, 0.000, 0.500], [0.500, 0.500, 0.500], [0.000, 0.000, 0.000]]
}


9.
{
  "formula": "KHoS2",
  "functional": "meta-GGA SCAN",
  "state": "single point on PBEsol structure",
  "dft_energy_ev_per_atom": -21.3011,
  "formation_energy_uncorrected_ev_per_fu": -8.6,
  "lattice_angstrom": [[1.985, 1.146, 7.248], [-1.985, 1.146, 7.248], [0.000, -2.292, 7.248]],
  "species": ["K", "Ho", "S", "S"],
  "frac_coords": [[0.000, 0.000, 0.000], [0.500, 0.500, 0.500], [0.234, 0.234, 0.234], [0.766, 0.766, 0.766]]
}


10.
{
  "formula": "SrAgPCl2",
  "functional": "meta-GGA SCAN",
  "state": "single point on PBEsol structure",
  "dft_energy_ev_per_atom": -16.7642,
  "formation_energy_uncorrected_ev_per_fu": -3.8,
  "lattice_angstrom": [[5.035, 0.000, 0.000], [0.000, 5.035, 0.000], [0.000, 0.000, 4.853]],
  "species": ["Sr", "Ag", "P", "Cl", "Cl"],
  "frac_coords": [[0.000, 0.000, 0.000], [0.500, 0.500, 0.500], [0.500, 0.500, 0.000], [0.000, 0.500, 0.500], [0.500, 0.000, 0.500]]
}


11.
{
  "formula": "Sc3AsPd",
  "functional": "meta-GGA SCAN",
  "state": "single point on PBEsol structure",
  "dft_energy_ev_per_atom": -19.4408,
  "formation_enthalpy_0k_mev_per_atom": -306,
  "lattice_angstrom": [[4.932, 0.000, 0.000], [0.000, 4.932, 0.000], [0.000, 0.000, 4.932]],
  "species": ["Sc", "Sc", "Sc", "As", "Pd"],
  "frac_coords": [[0.000, 0.000, 0.500], [0.000, 0.500, 0.000], [0.500, 0.000, 0.000], [0.500, 0.500, 0.500], [0.000, 0.000, 0.000]]
}


12.
{
  "formula": "LaTl2Pb",
  "functional": "meta-GGA SCAN",
  "state": "single point on PBEsol structure",
  "dft_energy_ev_per_atom": -66.4465,
  "formation_enthalpy_0k_mev_per_atom": -546,
  "lattice_angstrom": [[4.753, 0.000, 0.000], [0.000, 4.753, 0.000], [0.000, 0.000, 4.918]],
  "species": ["La", "Tl", "Tl", "Pb"],
  "frac_coords": [[0.000, 0.000, 0.000], [0.000, 0.500, 0.500], [0.500, 0.000, 0.500], [0.500, 0.500, 0.000]]
}


13.
{
  "formula": "BaCa2Zr",
  "functional": "meta-GGA SCAN",
  "state": "single point on PBEsol structure",
  "dft_energy_ev_per_atom": -22.0013,
  "formation_enthalpy_0k_mev_per_atom": 393,
  "lattice_angstrom": [[1.804, 1.042, 12.300], [-1.804, 1.042, 12.300], [0.000, -2.083, 12.300]],
  "species": ["Ba", "Ca", "Ca", "Zr"],
  "frac_coords": [[0.000, 0.000, 0.000], [0.239, 0.239, 0.239], [0.761, 0.761, 0.761], [0.500, 0.500, 0.500]]
}


14.
{
  "formula": "K2Cr4CoH4O16",
  "functional": "meta-GGA SCAN",
  "state": "single point on PBEsol structure",
  "dft_energy_ev_per_atom": -9.8944,
  "lattice_angstrom": [[6.842, 0.000, 0.000], [3.306, 6.592, 0.000], [1.069, -0.327, 7.713]],
  "species": ["K", "K", "Cr", "Cr", "Cr", "Cr", "Co", "H", "H", "H", "H", "O", "O", "O", "O", "O", "O", "O", "O", "O", "O", "O", "O", "O", "O", "O", "O"],
  "frac_coords": [[0.210, 0.234, 0.160], [0.790, 0.766, 0.840], [0.226, 0.002, 0.651], [0.245, 0.701, 0.176], [0.755, 0.299, 0.824], [0.774, 0.998, 0.349], [0.500, 0.500, 0.500], [0.264, 0.344, 0.600], [0.366, 0.388, 0.763], [0.634, 0.612, 0.237], [0.736, 0.656, 0.400], [0.049, 0.943, 0.266], [0.136, 0.633, 0.035], [0.223, 0.177, 0.517], [0.291, 0.453, 0.658], [0.313, 0.530, 0.326], [0.341, 0.777, 0.552], [0.349, 0.009, 0.810], [0.463, 0.723, 0.092], [0.537, 0.277, 0.908], [0.651, 0.991, 0.190], [0.659, 0.223, 0.448], [0.687, 0.470, 0.674], [0.709, 0.547, 0.342], [0.777, 0.823, 0.483], [0.864, 0.367, 0.965], [0.951, 0.057, 0.734]]
}


15.
{
  "formula": "CaMg30VO32",
  "functional": "meta-GGA SCAN",
  "state": "single point on PBEsol structure",
  "dft_energy_ev_per_atom": -8.8496,
  "formation_energy_uncorrected_ev_per_fu": -190.6,
  "lattice_angstrom": [[8.480, 0.000, 0.000], [0.000, 8.480, 0.000], [0.000, 0.000, 8.493]],
  "species": ["Ca", "Mg", "Mg", "Mg", "Mg", "Mg", "Mg", "Mg", "Mg", "Mg", "Mg", "Mg", "Mg", "Mg", "Mg", "Mg", "Mg", "Mg", "Mg", "Mg", "Mg", "Mg", "Mg", "Mg", "Mg", "Mg", "Mg", "Mg", "Mg", "Mg", "Mg", "V", "O", "O", "O", "O", "O", "O", "O", "O", "O", "O", "O", "O", "O", "O", "O", "O", "O", "O", "O", "O", "O", "O", "O", "O", "O", "O", "O", "O", "O", "O", "O", "O"],
  "frac_coords": [[0.000, 0.000, 0.000], [0.000, 0.253, 0.253], [0.000, 0.253, 0.747], [0.000, 0.500, 0.000], [0.000, 0.500, 0.500], [0.000, 0.747, 0.253], [0.000, 0.747, 0.747], [0.250, 0.250, 0.500], [0.250, 0.500, 0.250], [0.250, 0.500, 0.750], [0.250, 0.750, 0.500], [0.253, 0.000, 0.253], [0.253, 0.000, 0.747], [0.253, 0.253, 0.000], [0.253, 0.747, 0.000], [0.500, 0.000, 0.000], [0.500, 0.000, 0.500], [0.500, 0.250, 0.250], [0.500, 0.250, 0.750], [0.500, 0.500, 0.000], [0.500, 0.500, 0.500], [0.500, 0.750, 0.250], [0.500, 0.750, 0.750], [0.747, 0.000, 0.253], [0.747, 0.000, 0.747], [0.747, 0.253, 0.000], [0.747, 0.747, 0.000], [0.750, 0.250, 0.500], [0.750, 0.500, 0.250], [0.750, 0.500, 0.750], [0.750, 0.750, 0.500], [0.000, 0.000, 0.500], [0.000, 0.000, 0.258], [0.000, 0.000, 0.742], [0.000, 0.254, 0.500], [0.000, 0.263, 0.000], [0.000, 0.500, 0.252], [0.000, 0.500, 0.748], [0.000, 0.737, 0.000], [0.000, 0.746, 0.500], [0.250, 0.250, 0.250], [0.250, 0.250, 0.750], [0.250, 0.750, 0.250], [0.250, 0.750, 0.750], [0.251, 0.500, 0.500], [0.252, 0.500, 0.000], [0.254, 0.000, 0.500], [0.263, 0.000, 0.000], [0.500, 0.000, 0.252], [0.500, 0.000, 0.748], [0.500, 0.251, 0.500], [0.500, 0.252, 0.000], [0.500, 0.500, 0.251], [0.500, 0.500, 0.749], [0.500, 0.748, 0.000], [0.500, 0.749, 0.500], [0.737, 0.000, 0.000], [0.746, 0.000, 0.500], [0.748, 0.500, 0.000], [0.749, 0.500, 0.500], [0.750, 0.250, 0.250], [0.750, 0.250, 0.750], [0.750, 0.750, 0.250], [0.750, 0.750, 0.750]]
}


16.
{
  "formula": "TcAs2P",
  "functional": "meta-GGA SCAN",
  "state": "single point on PBEsol structure",
  "dft_energy_ev_per_atom": -21.2376,
  "formation_enthalpy_0k_mev_per_atom": 222,
  "lattice_angstrom": [[3.057, 0.000, 0.000], [0.000, 3.057, 0.000], [0.000, 0.000, 6.505]],
  "species": ["Tc", "As", "As", "P"],
  "frac_coords": [[0.000, 0.000, 0.000], [0.500, 0.500, 0.229], [0.500, 0.500, 0.771], [0.000, 0.000, 0.500]]
}


17.
{
  "formula": "CdBiSe2I",
  "functional": "meta-GGA SCAN",
  "state": "single point on PBEsol structure",
  "dft_energy_ev_per_atom": -37.6460,
  "formation_energy_uncorrected_ev_per_fu": -2.3,
  "lattice_angstrom": [[6.785, -2.091, 0.000], [6.785, 2.091, 0.000], [-0.229, 0.000, 9.990]],
  "species": ["Cd", "Cd", "Bi", "Bi", "Se", "Se", "Se", "Se", "I", "I"],
  "frac_coords": [[0.000, 0.000, 0.000], [0.000, 0.000, 0.500], [0.280, 0.280, 0.691], [0.720, 0.720, 0.309], [0.081, 0.081, 0.257], [0.357, 0.357, 0.440], [0.643, 0.643, 0.560], [0.919, 0.919, 0.743], [0.358, 0.358, 0.075], [0.642, 0.642, 0.925]]
}


18.
{
  "formula": "SnPt3",
  "functional": "meta-GGA SCAN",
  "state": "single point on PBEsol structure",
  "dft_energy_ev_per_atom": -61.9511,
  "formation_enthalpy_0k_mev_per_atom": -326,
  "lattice_angstrom": [[4.002, 0.000, 0.000], [0.000, 4.002, 0.000], [0.000, 0.000, 4.002]],
  "species": ["Sn", "Pt", "Pt", "Pt"],
  "frac_coords": [[0.000, 0.000, 0.000], [0.000, 0.500, 0.500], [0.500, 0.000, 0.500], [0.500, 0.500, 0.000]]
}


19.
{
  "formula": "Cr5Os",
  "functional": "meta-GGA SCAN",
  "state": "single point on PBEsol structure",
  "dft_energy_ev_per_atom": -27.2814,
  "e_above_lowest_polymorph_ev_per_fu": 0.610,
  "formation_enthalpy_0k_mev_per_atom": 19,
  "lattice_angstrom": [[1.429, -6.027, 0.000], [1.429, 6.027, 0.000], [0.000, 0.000, 4.081]],
  "species": ["Cr", "Cr", "Cr", "Cr", "Cr", "Os"],
  "frac_coords": [[0.000, 0.000, 0.000], [0.174, 0.826, 0.500], [0.333, 0.667, 0.000], [0.667, 0.333, 0.000], [0.826, 0.174, 0.500], [0.500, 0.500, 0.500]]
}


20.
{
  "formula": "MoP2Au",
  "functional": "meta-GGA SCAN",
  "state": "single point on PBEsol structure",
  "dft_energy_ev_per_atom": -30.8227,
  "e_above_lowest_polymorph_ev_per_fu": 0.000,
  "formation_enthalpy_0k_mev_per_atom": 387,
  "lattice_angstrom": [[-1.804, 1.804, 4.550], [1.804, -1.804, 4.550], [1.804, 1.804, -4.550]],
  "species": ["Mo", "P", "P", "Au"],
  "frac_coords": [[0.000, 0.000, 0.000], [0.500, 0.500, 0.000], [0.750, 0.250, 0.500], [0.250, 0.750, 0.500]]
}


21.
{
  "formula": "MoPtF2",
  "functional": "meta-GGA SCAN",
  "state": "single point on PBEsol structure",
  "dft_energy_ev_per_atom": -28.5359,
  "formation_energy_uncorrected_ev_per_fu": -2.0,
  "lattice_angstrom": [[-1.856, 1.856, 7.536], [1.856, -1.856, 7.536], [1.856, 1.856, -7.536]],
  "species": ["Mo", "Mo", "Pt", "Pt", "F", "F", "F", "F"],
  "frac_coords": [[0.000, 0.000, 0.000], [0.750, 0.250, 0.500], [0.250, 0.750, 0.500], [0.500, 0.500, 0.000], [0.041, 0.625, 0.916], [0.375, 0.291, 0.416], [0.709, 0.125, 0.084], [0.875, 0.959, 0.584]]
}